A geometry-optimized PmNd2In2Ag2 structure. Source: Alexandria, functional PBE-GGA.

Results
* energy of formation from the pure elements: -0.31 eV/atom

Cell lengths 4.9143, 4.9143, 27.3854 Å; angles 90.00, 90.00, 120.00 degrees
Space group R-3m (No. 166, hexagonal axes)
Asymmetric unit:
Pm1 0.0000 0.0000 0.0000 (multiplicity 3)
Nd1 0.0000 0.0000 0.1260 (multiplicity 6)
In1 0.0000 0.0000 0.2629 (multiplicity 6)
Ag1 0.0000 0.0000 0.3961 (multiplicity 6)



A geometry-optimized PrNd2In2Ag2 structure. Source: Alexandria, functional PBE-GGA.

Results
* energy of formation from the pure elements: -0.31 eV/atom

Cell lengths 4.9330, 4.9330, 27.5427 Å; angles 90.00, 90.00, 120.00 degrees
Space group R-3m (No. 166, hexagonal axes)
Asymmetric unit:
Pr1 0.0000 0.0000 0.0000 (multiplicity 3)
Nd1 0.0000 0.0000 0.1264 (multiplicity 6)
In1 0.0000 0.0000 0.2615 (multiplicity 6)
Ag1 0.0000 0.0000 0.3991 (multiplicity 6)



A geometry-optimized NdInAgPt structure. Source: Alexandria, functional PBE-GGA.

Results
* energy of formation from the pure elements: -0.59 eV/atom

Cell lengths 7.039, 7.039, 7.039 Å; angles 90.00, 90.00, 90.00 degrees
Space group F-43m (No. 216)
Asymmetric unit:
Nd1 0.000 0.000 0.000 (multiplicity 4)
In1 0.000 0.000 0.500 (multiplicity 4)
Ag1 0.250 0.250 0.250 (multiplicity 4)
Pt1 0.250 0.250 0.750 (multiplicity 4)



A geometry-optimized Nd4InAg2Pt structure. Source: Alexandria, functional PBE-GGA.

Results
* energy of formation from the pure elements: -0.54 eV/atom

Cell lengths 5.2959, 5.2959, 25.8947 Å; angles 90.00, 90.00, 120.00 degrees
Space group R-3m (No. 166, hexagonal axes)
Asymmetric unit:
Nd1 0.0000 0.0000 0.1159 (multiplicity 6)
Nd2 0.0000 0.0000 0.3686 (multiplicity 6)
In1 0.0000 0.0000 0.5000 (multiplicity 3)
Ag1 0.0000 0.0000 0.2391 (multiplicity 6)
Pt1 0.0000 0.0000 0.0000 (multiplicity 3)



A geometry-optimized NdPuInAg structure. Source: Alexandria, functional PBE-GGA.

Results
* energy of formation from the pure elements: -0.14 eV/atom

Cell lengths 7.582, 7.582, 7.582 Å; angles 90.00, 90.00, 90.00 degrees
Space group F-43m (No. 216)
Asymmetric unit:
Nd1 0.000 0.000 0.000 (multiplicity 4)
Pu1 0.000 0.000 0.500 (multiplicity 4)
In1 0.250 0.250 0.250 (multiplicity 4)
Ag1 0.250 0.250 0.750 (multiplicity 4)



A geometry-optimized Nd4InAg2Rh structure. Source: Alexandria, functional PBE-GGA.

Results
* energy of formation from the pure elements: -0.44 eV/atom

Cell lengths 5.2967, 5.2967, 25.6040 Å; angles 90.00, 90.00, 120.00 degrees
Space group R-3m (No. 166, hexagonal axes)
Asymmetric unit:
Nd1 0.0000 0.0000 0.1137 (multiplicity 6)
Nd2 0.0000 0.0000 0.3677 (multiplicity 6)
In1 0.0000 0.0000 0.5000 (multiplicity 3)
Ag1 0.0000 0.0000 0.2388 (multiplicity 6)
Rh1 0.0000 0.0000 0.0000 (multiplicity 3)



A geometry-optimized NdInAgRh structure. Source: Alexandria, functional PBE-GGA.

Results
* energy of formation from the pure elements: -0.39 eV/atom

Cell lengths 6.970, 6.970, 6.970 Å; angles 90.00, 90.00, 90.00 degrees
Space group F-43m (No. 216)
Asymmetric unit:
Nd1 0.000 0.000 0.000 (multiplicity 4)
In1 0.000 0.000 0.500 (multiplicity 4)
Ag1 0.250 0.250 0.250 (multiplicity 4)
Rh1 0.250 0.250 0.750 (multiplicity 4)



A geometry-optimized NdInAgRu structure. Source: Alexandria, functional PBE-GGA.

Results
* energy of formation from the pure elements: -0.09 eV/atom

Cell lengths 6.949, 6.949, 6.949 Å; angles 90.00, 90.00, 90.00 degrees
Space group F-43m (No. 216)
Asymmetric unit:
Nd1 0.000 0.000 0.000 (multiplicity 4)
In1 0.000 0.000 0.500 (multiplicity 4)
Ag1 0.250 0.250 0.250 (multiplicity 4)
Ru1 0.250 0.250 0.750 (multiplicity 4)



A geometry-optimized Nd4InAg2Ru structure. Source: Alexandria, functional PBE-GGA.

Results
* energy of formation from the pure elements: -0.32 eV/atom

Cell lengths 5.2963, 5.2963, 25.5707 Å; angles 90.00, 90.00, 120.00 degrees
Space group R-3m (No. 166, hexagonal axes)
Asymmetric unit:
Nd1 0.0000 0.0000 0.1124 (multiplicity 6)
Nd2 0.0000 0.0000 0.3664 (multiplicity 6)
In1 0.0000 0.0000 0.5000 (multiplicity 3)
Ag1 0.0000 0.0000 0.2383 (multiplicity 6)
Ru1 0.0000 0.0000 0.0000 (multiplicity 3)



A geometry-optimized Nd2InAgSe5 structure. Source: Alexandria, functional PBE-GGA.

Cell lengths 4.163, 18.177, 11.983 Å; angles 90.00, 90.00, 90.00 degrees
Space group Cmc2_1 (No. 36)
Asymmetric unit:
Nd1 0.000 0.119 0.000 (multiplicity 4)
Nd2 0.000 0.124 0.377 (multiplicity 4)
In1 0.000 0.409 0.176 (multiplicity 4)
Ag1 0.000 0.226 0.703 (multiplicity 4)
Se1 0.000 0.034 0.778 (multiplicity 4)
Se2 0.000 0.298 0.028 (multiplicity 4)
Se3 0.000 0.301 0.360 (multiplicity 4)
Se4 0.000 0.369 0.691 (multiplicity 4)
Se5 0.000 0.487 0.982 (multiplicity 4)



A geometry-optimized NdSm2In2Ag2 structure. Source: Alexandria, functional PBE-GGA.

Results
* energy of formation from the pure elements: -0.30 eV/atom

Cell lengths 4.9102, 4.9102, 27.2340 Å; angles 90.00, 90.00, 120.00 degrees
Space group R-3m (No. 166, hexagonal axes)
Asymmetric unit:
Nd1 0.0000 0.0000 0.0000 (multiplicity 3)
Sm1 0.0000 0.0000 0.1263 (multiplicity 6)
In1 0.0000 0.0000 0.2606 (multiplicity 6)
Ag1 0.0000 0.0000 0.4000 (multiplicity 6)



A geometry-optimized NdInAgSn structure. Source: Alexandria, functional PBE-GGA.

Results
* energy of formation from the pure elements: -0.25 eV/atom

Cell lengths 7.428, 7.428, 7.428 Å; angles 90.00, 90.00, 90.00 degrees
Space group F-43m (No. 216)
Asymmetric unit:
Nd1 0.000 0.000 0.000 (multiplicity 4)
In1 0.000 0.000 0.500 (multiplicity 4)
Ag1 0.250 0.250 0.750 (multiplicity 4)
Sn1 0.250 0.250 0.250 (multiplicity 4)



A geometry-optimized NdInAgSn structure. Source: Alexandria, functional PBE-GGA.

Results
* energy of formation from the pure elements: -0.44 eV/atom

Cell lengths 4.537, 4.557, 4.814 Å; angles 90.00, 90.00, 90.00 degrees
Space group Pmmm (No. 47)
Asymmetric unit:
Nd1 0.000 0.000 0.000 (multiplicity 1)
In1 0.000 0.500 0.500 (multiplicity 1)
Ag1 0.500 0.000 0.500 (multiplicity 1)
Sn1 0.500 0.500 0.000 (multiplicity 1)



A geometry-optimized SrNdInAg structure. Source: Alexandria, functional PBE-GGA.

Results
* energy of formation from the pure elements: -0.36 eV/atom

Cell lengths 3.838, 3.838, 8.093 Å; angles 90.00, 90.00, 90.00 degrees
Space group P4mm (No. 99)
Asymmetric unit:
Sr1 0.000 0.000 0.000 (multiplicity 1)
Nd1 0.000 0.000 0.521 (multiplicity 1)
In1 0.500 0.500 0.279 (multiplicity 1)
Ag1 0.500 0.500 0.738 (multiplicity 1)



A geometry-optimized SrNdInAg structure. Source: Alexandria, functional PBE-GGA.

Results
* energy of formation from the pure elements: -0.33 eV/atom

Cell lengths 7.807, 7.807, 7.807 Å; angles 90.00, 90.00, 90.00 degrees
Space group F-43m (No. 216)
Asymmetric unit:
Sr1 0.000 0.000 0.000 (multiplicity 4)
Nd1 0.000 0.000 0.500 (multiplicity 4)
In1 0.250 0.250 0.250 (multiplicity 4)
Ag1 0.250 0.250 0.750 (multiplicity 4)



A geometry-optimized TbNd2In2Ag2 structure. Source: Alexandria, functional PBE-GGA.

Results
* energy of formation from the pure elements: -0.30 eV/atom

Cell lengths 4.8797, 4.8797, 27.3128 Å; angles 90.00, 90.00, 120.00 degrees
Space group R-3m (No. 166, hexagonal axes)
Asymmetric unit:
Tb1 0.0000 0.0000 0.0000 (multiplicity 3)
Nd1 0.0000 0.0000 0.1256 (multiplicity 6)
In1 0.0000 0.0000 0.2645 (multiplicity 6)
Ag1 0.0000 0.0000 0.3917 (multiplicity 6)



A geometry-optimized NdThInAg structure. Source: Alexandria, functional PBE-GGA.

Results
* energy of formation from the pure elements: -0.22 eV/atom

Cell lengths 7.648, 7.648, 7.648 Å; angles 90.00, 90.00, 90.00 degrees
Space group F-43m (No. 216)
Asymmetric unit:
Nd1 0.000 0.000 0.000 (multiplicity 4)
Th1 0.000 0.000 0.500 (multiplicity 4)
In1 0.250 0.250 0.750 (multiplicity 4)
Ag1 0.250 0.250 0.250 (multiplicity 4)



A geometry-optimized Nd4TlIn2Ag structure. Source: Alexandria, functional PBE-GGA.

Results
* energy of formation from the pure elements: -0.39 eV/atom

Cell lengths 5.4477, 5.4477, 26.9803 Å; angles 90.00, 90.00, 120.00 degrees
Space group R-3m (No. 166, hexagonal axes)
Asymmetric unit:
Nd1 0.0000 0.0000 0.1219 (multiplicity 6)
Nd2 0.0000 0.0000 0.3719 (multiplicity 6)
Tl1 0.0000 0.0000 0.5000 (multiplicity 3)
In1 0.0000 0.0000 0.2498 (multiplicity 6)
Ag1 0.0000 0.0000 0.0000 (multiplicity 3)



A geometry-optimized NdTm2In2Ag2 structure. Source: Alexandria, functional PBE-GGA.

Results
* energy of formation from the pure elements: -0.28 eV/atom

Cell lengths 4.8743, 4.8743, 26.4827 Å; angles 90.00, 90.00, 120.00 degrees
Space group R-3m (No. 166, hexagonal axes)
Asymmetric unit:
Nd1 0.0000 0.0000 0.0000 (multiplicity 3)
Tm1 0.0000 0.0000 0.1284 (multiplicity 6)
In1 0.0000 0.0000 0.2572 (multiplicity 6)
Ag1 0.0000 0.0000 0.4115 (multiplicity 6)



A geometry-optimized Nd2YIn2Ag2 structure. Source: Alexandria, functional PBE-GGA.

Results
* energy of formation from the pure elements: -0.30 eV/atom

Cell lengths 4.8693, 4.8693, 27.3981 Å; angles 90.00, 90.00, 120.00 degrees
Space group R-3m (No. 166, hexagonal axes)
Asymmetric unit:
Nd1 0.0000 0.0000 0.1259 (multiplicity 6)
Y1 0.0000 0.0000 0.0000 (multiplicity 3)
In1 0.0000 0.0000 0.2645 (multiplicity 6)
Ag1 0.0000 0.0000 0.3918 (multiplicity 6)



| no. | total energy (eV for the cell shown) |
| --- | --- |
| 1 | -82.868 |
| 2 | -82.996 |
| 3 | -74.957 |
| 4 | -113.615 |
| 5 | -100.952 |
| 6 | -115.202 |
| 7 | -77.009 |
| 8 | -79.934 |
| 9 | -118.125 |
| 10 | -172.297 |
| 11 | -82.517 |
| 12 | -61.429 |
| 13 | -16.101 |
| 14 | -13.464 |
| 15 | -53.416 |
| 16 | -82.351 |
| 17 | -74.589 |
| 18 | -98.665 |
| 19 | -80.579 |
| 20 | -87.941 |